The following is a GGA-PBE calculation of crystalline Ac8AlGe2 at its relaxed geometry, from Alexandria.

**Total moment**: 0.00 μB/f.u.
**ΔH_f (0 K)**: -2.56 eV/f.u.

Cell lengths 20.707, 5.497, 7.328 Å; angles 90.00, 101.26, 90.00 degrees
Space group C2/m (No. 12)
Symmetry-distinct sites (fractional):
Ac 0.029 0.000 0.276 x4
Ac 0.089 0.500 0.960 x4
Ac 0.163 0.500 0.490 x4
Ac 0.208 0.000 0.843 x4
Al 0.000 0.500 0.500 x2
Ge 0.187 0.000 0.271 x4

=====

The following is a GGA-PBE calculation of crystalline AcAlGe2 at its relaxed geometry, from Alexandria.

**Total moment**: 0.00 μB/f.u.
**ΔH_f (0 K)**: -1.04 eV/f.u.

Cell lengths 3.710, 3.710, 6.746 Å; angles 90.00, 90.00, 90.00 degrees
Space group P4/mmm (No. 123)
Symmetry-distinct sites (fractional):
Ac 0.000 0.000 0.000 x1
Al 0.000 0.000 0.500 x1
Ge 0.500 0.500 0.313 x2

=====

The following is a GGA-PBE calculation of crystalline Ac2Al3Ge at its relaxed geometry, from Alexandria.

**Total moment**: 0.00 μB/f.u.
**ΔH_f (0 K)**: -3.21 eV/f.u.

Cell lengths 4.446, 4.693, 7.690 Å; angles 90.00, 90.00, 90.00 degrees
Space group Pmm2 (No. 25)
Symmetry-distinct sites (fractional):
Ac 0.000 0.000 0.000 x1
Ac 0.500 0.000 0.491 x1
Al 0.000 0.500 0.330 x1
Al 0.000 0.500 0.665 x1
Al 0.500 0.500 0.829 x1
Ge 0.500 0.500 0.160 x1

=====

The following is a GGA-PBE calculation of crystalline Ac3Al2Ge4 at its relaxed geometry, from Alexandria.

**Total moment**: 0.00 μB/f.u.
**ΔH_f (0 K)**: -5.40 eV/f.u.

Cell lengths 12.031, 4.393, 9.023 Å; angles 90.00, 100.15, 90.00 degrees
Space group C2/m (No. 12)
Symmetry-distinct sites (fractional):
Ac 0.000 0.000 0.000 x2
Ac 0.162 0.500 0.669 x4
Al 0.115 0.500 0.278 x4
Ge 0.063 0.000 0.387 x4
Ge 0.220 0.500 0.057 x4

=====

The following is a GGA-PBE calculation of crystalline Ac6AlGe3 at its relaxed geometry, from Alexandria.

**Total moment**: 0.00 μB/f.u.
**ΔH_f (0 K)**: -3.79 eV/f.u.

Cell lengths 7.708, 8.721, 13.188 Å; angles 90.00, 123.46, 90.00 degrees
Space group P2_1/c (No. 14)
Symmetry-distinct sites (fractional):
Ac 0.063 0.083 0.248 x4
Ac 0.238 0.685 0.079 x4
Ac 0.401 0.173 0.071 x4
Al 0.500 0.000 0.500 x2
Ge 0.000 0.000 0.000 x2
Ge 0.309 0.111 0.757 x4

=====

The following is a GGA-PBE calculation of crystalline Ac2Al2Ge3 at its relaxed geometry, from Alexandria.

**Total moment**: 0.00 μB/f.u.
**ΔH_f (0 K)**: -2.82 eV/f.u.

Cell lengths 12.286, 4.365, 7.621 Å; angles 90.00, 107.40, 90.00 degrees
Space group C2/m (No. 12)
Symmetry-distinct sites (fractional):
Ac 0.102 0.000 0.291 x4
Al 0.175 0.500 0.912 x4
Ge 0.000 0.500 0.000 x2
Ge 0.188 0.000 0.730 x4

=====

The following is a GGA-PBE calculation of crystalline Ac2AlGe at its relaxed geometry, from Alexandria.

**Total moment**: 0.00 μB/f.u.
**ΔH_f (0 K)**: -1.47 eV/f.u.

Cell lengths 5.334, 5.334, 4.243 Å; angles 90.00, 90.00, 90.00 degrees
Space group P4/mmm (No. 123)
Symmetry-distinct sites (fractional):
Ac 0.000 0.500 0.000 x2
Al 0.000 0.000 0.500 x1
Ge 0.500 0.500 0.500 x1

=====

The following is a GGA-PBE calculation of crystalline AcAlGe2 at its relaxed geometry, from Alexandria.

**Total moment**: 0.00 μB/f.u.
**ΔH_f (0 K)**: -1.31 eV/f.u.

Cell lengths 4.293, 5.417, 8.942 Å; angles 86.32, 76.24, 89.85 degrees
Space group P1 (No. 1)
Symmetry-distinct sites (fractional):
Ac 0.000 0.000 0.000 x1
Ac 0.250 0.679 0.497 x1
Al 0.619 0.352 0.757 x1
Al 0.889 0.502 0.224 x1
Ge 0.358 0.169 0.279 x1
Ge 0.483 0.517 0.034 x1
Ge 0.627 0.850 0.747 x1
Ge 0.759 0.179 0.478 x1

=====

The following is a GGA-PBE calculation of crystalline Ac5AlGe4 at its relaxed geometry, from Alexandria.

**Total moment**: 0.00 μB/f.u.
**ΔH_f (0 K)**: -4.28 eV/f.u.

Cell lengths 20.138, 4.202, 8.337 Å; angles 90.00, 113.82, 90.00 degrees
Space group C2/m (No. 12)
Symmetry-distinct sites (fractional):
Ac 0.000 0.000 0.000 x2
Ac 0.128 0.500 0.759 x4
Ac 0.194 0.500 0.274 x4
Al 0.000 0.000 0.500 x2
Ge 0.042 0.500 0.327 x4
Ge 0.135 0.000 0.472 x4

=====

The following is a GGA-PBE calculation of crystalline AcAl4Ge2 at its relaxed geometry, from Alexandria.

**Total moment**: 0.00 μB/f.u.
**ΔH_f (0 K)**: -1.27 eV/f.u.

Cell lengths 4.6986, 4.6986, 23.2576 Å; angles 90.00, 90.00, 120.00 degrees
Space group R-3m (No. 166, hexagonal axes)
Symmetry-distinct sites (fractional):
Ac 0.0000 0.0000 0.0000 x3
Al 0.0000 0.0000 0.1393 x6
Al 0.0000 0.0000 0.4391 x6
Ge 0.0000 0.0000 0.2491 x6

=====

Copy entry 2 word for word.
The following is a GGA-PBE calculation of crystalline AcAlGe2 at its relaxed geometry, from Alexandria.

**Total moment**: 0.00 μB/f.u.
**ΔH_f (0 K)**: -1.04 eV/f.u.

Cell lengths 3.710, 3.710, 6.746 Å; angles 90.00, 90.00, 90.00 degrees
Space group P4/mmm (No. 123)
Symmetry-distinct sites (fractional):
Ac 0.000 0.000 0.000 x1
Al 0.000 0.000 0.500 x1
Ge 0.500 0.500 0.313 x2

=====

Please write out number 10 again, unchanged.
The following is a GGA-PBE calculation of crystalline AcAl4Ge2 at its relaxed geometry, from Alexandria.

**Total moment**: 0.00 μB/f.u.
**ΔH_f (0 K)**: -1.27 eV/f.u.

Cell lengths 4.6986, 4.6986, 23.2576 Å; angles 90.00, 90.00, 120.00 degrees
Space group R-3m (No. 166, hexagonal axes)
Symmetry-distinct sites (fractional):
Ac 0.0000 0.0000 0.0000 x3
Al 0.0000 0.0000 0.1393 x6
Al 0.0000 0.0000 0.4391 x6
Ge 0.0000 0.0000 0.2491 x6

=====

Look up the total moment of the first one.
0.00 μB/f.u.